# 1
The following is a DFT calculation (GGA-PBE) of a relaxed Hf3Zr2Pa crystal.

The value obtained for the total energy is -219.61 eV/cell.

The space group is Cmc2_1 (No. 36) and the conventional cell measures 8.356, 11.780 and 5.831 Å, with angles of 90.00, 90.00 and 90.00 degrees. The inequivalent atoms are Hf at (0.000, 0.165, 0.000), Hf at (0.179, 0.320, 0.721), Zr at (0.184, 0.424, 0.226) and Pa at (0.000, 0.105, 0.476).


# 2
The following is a DFT calculation (GGA-PBE) of a relaxed HfZr3Pa3 crystal.

The value obtained for the total energy is -126.00 eV/cell.

The space group is P-1 (No. 2) and the conventional cell measures 5.221, 5.613 and 13.407 Å, with angles of 79.14, 89.94 and 62.41 degrees. The inequivalent atoms are Hf at (0.157, 0.218, 0.001), Zr at (0.074, 0.351, 0.217), Zr at (0.299, 0.894, 0.850), Zr at (0.387, 0.714, 0.144), Pa at (0.091, 0.318, 0.616), Pa at (0.279, 0.942, 0.436) and Pa at (0.429, 0.642, 0.635).


# 3
The following is a DFT calculation (GGA-PBE) of a relaxed HfZrPa2 crystal.

The value obtained for the total energy is -110.72 eV/cell.

The space group is R3m (No. 160, hexagonal axes) and the conventional cell measures 5.1249, 5.1249 and 12.6141 Å, with angles of 90.00, 90.00 and 120.00 degrees. The inequivalent atoms are Hf at (0.0000, 0.0000, 0.0000), Zr at (0.0000, 0.0000, 0.7417), Pa at (0.0000, 0.0000, 0.2558) and Pa at (0.0000, 0.0000, 0.4850).


# 4
The following is a DFT calculation (GGA-PBE) of a relaxed Hf6ZrPa crystal.

The value obtained for the total energy is -154.25 eV/cell.

The space group is Amm2 (No. 38) and the conventional cell measures 4.510, 9.045 and 8.968 Å, with angles of 90.00, 90.00 and 90.00 degrees. The inequivalent atoms are Hf at (0.000, 0.000, 0.000), Hf at (0.000, 0.244, 0.750), Hf at (0.500, 0.000, 0.750), Hf at (0.500, 0.246, 0.001), Zr at (0.500, 0.000, 0.252) and Pa at (0.000, 0.000, 0.498).


Sequential formation energy from the elements output: 0.26 0.15 0.15 0.08 eV/atom